## MnCo2Au (PBE)

Data for a geometry-optimized MnCo2Au structure.

As for the formation energy: 96 meV/atom. Its crystal system is tetragonal. The value obtained for the density of states at the Fermi level is 0.783 states/eV/atom.

It has space group P4mm (No. 99), with a = 2.8077 Å, b = 2.8077 Å, c = 6.9236 Å, α = 90.00°, β = 90.00° and γ = 90.00°. The asymmetric unit holds Mn at (0.0000, 0.0000, 0.0000), Co at (0.0000, 0.0000, 0.5708), Co at (0.5000, 0.5000, 0.7648) and Au at (0.5000, 0.5000, 0.2913).